Record 1
An optimized crystal structure of CuH2, computed with GGA-PBE.

Values from the calculation:
As for the final energy: -2.614 eV/atom. The space-group type is No. 227.

Unit cell a=3.773 b=3.773 c=3.773 alpha=60.00 beta=60.00 gamma=60.00
Sites, in units of the cell vectors:
Cu 0.125 0.125 0.125
Cu 0.875 0.875 0.875
H 0.000 0.500 0.500
H 0.500 0.000 0.500
H 0.500 0.500 0.000
H 0.500 0.500 0.500

Record 2
An optimized crystal structure of MgCdTeO, computed with GGA-PBE.

Values from the calculation:
As for the final energy: -3.826 eV/atom. The calculation puts the distance to the lowest polymorph of the same formula at 131 meV per atom. The space-group type is No. 19.

Unit cell a=6.080 b=7.870 c=8.216 alpha=90.00 beta=90.00 gamma=90.00
Sites, in units of the cell vectors:
Mg 0.049 0.172 0.038
Mg 0.451 0.828 0.538
Mg 0.549 0.328 0.962
Mg 0.951 0.672 0.462
Cd 0.067 0.571 0.895
Cd 0.433 0.429 0.395
Cd 0.567 0.929 0.105
Cd 0.933 0.071 0.605
Te 0.233 0.895 0.842
Te 0.267 0.105 0.342
Te 0.733 0.605 0.158
Te 0.767 0.395 0.658
O 0.240 0.348 0.967
O 0.260 0.652 0.467
O 0.740 0.152 0.033
O 0.760 0.848 0.533

Record 3
An optimized crystal structure of SmUPb, computed with GGA-PBE.

Values from the calculation:
As for the final energy: -6.066 eV/atom. The calculation puts the distance to the lowest polymorph of the same formula at 0 meV per atom. The space-group type is No. 216. As for the total magnetization: 1.43 μB/atom.

Unit cell a=7.468 b=7.468 c=7.468 alpha=90.00 beta=90.00 gamma=90.00
Sites, in units of the cell vectors:
Sm 0.000 0.000 0.000
Sm 0.000 0.500 0.500
Sm 0.500 0.000 0.500
Sm 0.500 0.500 0.000
U 0.000 0.000 0.500
U 0.000 0.500 0.000
U 0.500 0.000 0.000
U 0.500 0.500 0.500
Pb 0.250 0.250 0.250
Pb 0.250 0.750 0.750
Pb 0.750 0.250 0.750
Pb 0.750 0.750 0.250

Record 4
An optimized crystal structure of OsBr2, computed with GGA-PBE.

Values from the calculation:
As for the final energy: -4.349 eV/atom. The calculation puts the distance to the lowest polymorph of the same formula at 0 meV per atom. The space-group type is No. 136. As for the total magnetization: 0.01 μB/atom.

Unit cell a=5.850 b=5.850 c=3.929 alpha=90.00 beta=90.00 gamma=90.00
Sites, in units of the cell vectors:
Os 0.000 0.000 0.000
Os 0.500 0.500 0.500
Br 0.196 0.196 0.500
Br 0.304 0.696 0.000
Br 0.696 0.304 0.000
Br 0.804 0.804 0.500

Record 5
An optimized crystal structure of RePtNO, computed with GGA-PBE.

Values from the calculation:
As for the final energy: -7.330 eV/atom. The calculation puts the distance to the lowest polymorph of the same formula at 677 meV per atom. The space-group type is No. 129. As for the total magnetization: 0.00 μB/atom.

Unit cell a=4.105 b=4.105 c=5.418 alpha=90.00 beta=90.00 gamma=90.00
Sites, in units of the cell vectors:
Re 0.250 0.250 0.072
Re 0.750 0.750 0.928
Pt 0.250 0.750 0.500
Pt 0.750 0.250 0.500
N 0.250 0.250 0.734
N 0.750 0.750 0.266
O 0.250 0.750 0.000
O 0.750 0.250 0.000

Record 6
An optimized crystal structure of LaIrSe3, computed with GGA-PBE.

Values from the calculation:
As for the final energy: -5.989 eV/atom. The space-group type is No. 62. As for the total magnetization: 0.00 μB/atom.

Unit cell a=8.254 b=4.019 c=13.516 alpha=90.00 beta=90.00 gamma=90.00
Sites, in units of the cell vectors:
La 0.116 0.250 0.171
La 0.384 0.750 0.671
La 0.616 0.250 0.329
La 0.884 0.750 0.829
Ir 0.177 0.750 0.453
Ir 0.323 0.250 0.953
Ir 0.677 0.750 0.047
Ir 0.823 0.250 0.547
Se 0.007 0.250 0.401
Se 0.149 0.750 0.000
Se 0.170 0.250 0.789
Se 0.330 0.750 0.289
Se 0.351 0.250 0.500
Se 0.493 0.750 0.901
Se 0.507 0.250 0.099
Se 0.649 0.750 0.500
Se 0.670 0.250 0.711
Se 0.830 0.750 0.211
Se 0.851 0.250 0.000
Se 0.993 0.750 0.599

Record 7
An optimized crystal structure of PrZrNb, computed with GGA-PBE.

Values from the calculation:
As for the final energy: -7.035 eV/atom. The calculation puts the distance to the lowest polymorph of the same formula at 0 meV per atom. The space-group type is No. 216. As for the total magnetization: 0.00 μB/atom.

Unit cell a=6.886 b=6.886 c=6.886 alpha=90.00 beta=90.00 gamma=90.00
Sites, in units of the cell vectors:
Pr 0.000 0.000 0.000
Pr 0.000 0.500 0.500
Pr 0.500 0.000 0.500
Pr 0.500 0.500 0.000
Zr 0.000 0.000 0.500
Zr 0.000 0.500 0.000
Zr 0.500 0.000 0.000
Zr 0.500 0.500 0.500
Nb 0.250 0.250 0.250
Nb 0.250 0.750 0.750
Nb 0.750 0.250 0.750
Nb 0.750 0.750 0.250

Record 8
An optimized crystal structure of TbEr2Mg3InGa2, computed with GGA-PBE.

Values from the calculation:
As for the final energy: -3.475 eV/atom. The space-group type is No. 38. As for the total magnetization: 0.00 μB/atom.

Unit cell a=4.542 b=7.305 c=7.305 alpha=120.24 beta=90.00 gamma=90.00
Sites, in units of the cell vectors:
Tb 0.000 0.000 0.000
Er 0.000 0.124 0.562
Er 0.000 0.562 0.124
Mg 0.500 0.312 0.312
Mg 0.500 0.561 0.812
Mg 0.500 0.812 0.561
In 0.000 0.560 0.560
Ga 0.500 0.230 0.894
Ga 0.500 0.894 0.230

Record 9
An optimized crystal structure of SmErIn, computed with GGA-PBE.

Values from the calculation:
As for the final energy: -4.353 eV/atom. The calculation puts the distance to the lowest polymorph of the same formula at 1 meV per atom. The space-group type is No. 194. As for the total magnetization: 0.01 μB/atom.

Unit cell a=5.425 b=5.425 c=6.774 alpha=90.00 beta=90.00 gamma=120.00
Sites, in units of the cell vectors:
Sm 0.000 0.000 0.000
Sm 0.000 0.000 0.500
Er 0.333 0.667 0.250
Er 0.667 0.333 0.750
In 0.333 0.667 0.750
In 0.667 0.333 0.250

Record 10
An optimized crystal structure of TbPaSi, computed with GGA-PBE.

Values from the calculation:
As for the final energy: -6.548 eV/atom. The calculation puts the distance to the lowest polymorph of the same formula at 0 meV per atom. The space-group type is No. 216. As for the total magnetization: 0.33 μB/atom.

Unit cell a=6.784 b=6.784 c=6.784 alpha=90.00 beta=90.00 gamma=90.00
Sites, in units of the cell vectors:
Tb 0.000 0.000 0.000
Tb 0.000 0.500 0.500
Tb 0.500 0.000 0.500
Tb 0.500 0.500 0.000
Pa 0.000 0.000 0.500
Pa 0.000 0.500 0.000
Pa 0.500 0.000 0.000
Pa 0.500 0.500 0.500
Si 0.250 0.250 0.750
Si 0.250 0.750 0.250
Si 0.750 0.250 0.250
Si 0.750 0.750 0.750

Record 11
An optimized crystal structure of ThMgIn, computed with GGA-PBE.

Values from the calculation:
As for the final energy: -3.829 eV/atom. The space-group type is No. 216. As for the total magnetization: 0.00 μB/atom.

Unit cell a=7.167 b=7.167 c=7.167 alpha=90.00 beta=90.00 gamma=90.00
Sites, in units of the cell vectors:
Th 0.000 0.000 0.000
Th 0.000 0.500 0.500
Th 0.500 0.000 0.500
Th 0.500 0.500 0.000
Mg 0.000 0.000 0.500
Mg 0.000 0.500 0.000
Mg 0.500 0.000 0.000
Mg 0.500 0.500 0.500
In 0.250 0.250 0.750
In 0.250 0.750 0.250
In 0.750 0.250 0.250
In 0.750 0.750 0.750

Record 12
An optimized crystal structure of Pr2Gd2SiCl5, computed with GGA-PBE.

Values from the calculation:
As for the final energy: -5.093 eV/atom. The space-group type is No. 12. As for the total magnetization: 0.00 μB/atom.

Unit cell a=9.171 b=9.171 c=8.525 alpha=101.87 beta=101.87 gamma=25.51
Sites, in units of the cell vectors:
Pr 0.002 0.002 0.268
Pr 0.998 0.998 0.732
Gd 0.346 0.346 0.418
Gd 0.654 0.654 0.582
Si 0.500 0.500 0.500
Cl 0.168 0.168 0.806
Cl 0.177 0.177 0.364
Cl 0.500 0.500 0.000
Cl 0.823 0.823 0.636
Cl 0.832 0.832 0.194